SrEr2Zn | PBE | relaxed

a b c (Å): 11.447 11.447 11.447
angles (deg): 18.36 18.36 18.36
Element x y z (fractional)
Sr 0.000 0.000 0.000
Er 0.105 0.105 0.105
Er 0.895 0.895 0.895
Zn 0.500 0.500 0.500

## Properties
final energy: -11.398 eV/f.u.
polymorph energy (0 for the lowest one): 0.2236 eV/atom